Compound: HfMnV
Source: the Alexandria database
Functional: GGA-PBE
Structure: optimized geometry

- energy above the lowest structure with this stoichiometry (eV per formula unit) = 0.196
- energy of formation from the pure elements (eV/atom) = -0.1699
- space group = R-3m
- Fermi-level density of states (states/eV/f.u.) = 3.8

Cell: 5.1279 5.1279 12.4060 Å, 78.07 78.07 60.00°
Last column: magnetic moment on the atom in μB.
Positions (direct):
V 0.7228 0.2229 0.3315  0.04
V 0.2229 0.7228 0.3315  0.04
V 0.7771 0.2772 0.6685  0.04
V 0.7228 0.7228 0.3315  0.04
V 0.2772 0.7771 0.6685  0.04
V 0.2772 0.2772 0.6685  0.04
Mn 0.3862 0.3862 0.8414  -0.38
Mn 0.5000 0.0000 0.0000  1.14
Mn 0.5000 0.5000 0.0000  1.14
Mn 0.6138 0.6138 0.1586  -0.38
Mn 0.0000 0.5000 0.0000  1.14
Mn 0.5000 0.5000 0.5000  0.03
Hf 0.9601 0.9601 0.1196  -0.17
Hf 0.2675 0.2675 0.1974  -0.09
Hf 0.0399 0.0399 0.8804  -0.17
Hf 0.7325 0.7325 0.8026  -0.09
Hf 0.1803 0.1803 0.4591  -0.03
Hf 0.8197 0.8197 0.5409  -0.03


Compound: Sc5Zn
Source: the Alexandria database
Functional: GGA-PBE
Structure: optimized geometry

- energy above the lowest structure with this stoichiometry (eV per formula unit) = 0.000
- energy of formation from the pure elements (eV/atom) = -0.0897
- space group = C2/m
- Fermi-level density of states (states/eV/f.u.) = 8.8

Cell: 3.3844 5.8596 7.8260 Å, 67.92 90.00 73.21°
Positions (direct):
Zn 0.3053 0.3893 0.1107
Sc 0.9482 0.1036 0.9711
Sc 0.6348 0.7304 0.8106
Sc 0.6631 0.6737 0.2515
Sc 0.3057 0.3887 0.6114
Sc 0.9762 0.0476 0.4113


Compound: LiDyGe4
Source: the Alexandria database
Functional: GGA-PBE
Structure: optimized geometry

- energy of formation from the pure elements (eV/atom) = -0.2768
- space group = F-43m

Cell: 5.5415 5.5415 5.5415 Å, 60.00 60.00 60.00°
Positions (direct):
Dy 0.2500 0.2500 0.2500
Li 0.0000 0.0000 0.0000
Ge 0.6254 0.6254 0.1238
Ge 0.1238 0.6254 0.6254
Ge 0.6254 0.6254 0.6254
Ge 0.6254 0.1238 0.6254


Compound: Cd2InI2
Source: the Alexandria database
Functional: GGA-PBE
Structure: optimized geometry

- energy above the lowest structure with this stoichiometry (eV per formula unit) = 0.429
- ΔE_f (raw) (eV per atom) = -0.09
- space group = P4/mbm
- Fermi-level density of states (states/eV/f.u.) = 3.2

Cell: 9.7000 9.7000 4.0973 Å, 90.00 90.00 90.00°
Positions (direct):
Cd 0.4002 0.0998 0.5000
Cd 0.9002 0.4002 0.5000
Cd 0.0998 0.5998 0.5000
Cd 0.5998 0.9002 0.5000
I 0.7400 0.2400 0.0000
I 0.2400 0.2600 0.0000
I 0.7600 0.7400 0.0000
I 0.2600 0.7600 0.0000
In 0.5000 0.5000 0.0000
In 0.0000 0.0000 0.0000


Number 1: density 10.33 g/cm3. Number 2: density 3.53 g/cm3. Number 3: density 6.35 g/cm3. Number 4: density 5.11 g/cm3.